NiMo3F: optimized geometry, GGA+U.

a = 4.171 Å, b = 4.171 Å, c = 4.171 Å
α = 90.00°, β = 90.00°, γ = 90.00°
Space group Pm-3m (No. 221)
Unique sites:
Ni (0.000, 0.000, 0.000)
Mo (0.000, 0.500, 0.500)
F (0.500, 0.500, 0.500)

- V (Å³/atom) = 14.512
- ΔE to the lowest computed polymorph (meV per atom) = 0
- M_tot (μB per formula unit) = 0.00
- mass density (g/cm3) = 8.4
- DOS at the Fermi energy (states/eV/f.u.) = 3.915